Density functional theory data (PBE-GGA) for a relaxed structure of BaCaBi2.

The structure in POSCAR format:
```
BaCaBi2
1.0
6.166 0.000 0.000
0.000 6.166 0.000
3.083 3.083 10.168
Ca Bi Ba
2 4 2
direct
0.500 0.500 0.000
0.250 0.750 0.500
0.486 0.125 0.250
0.264 0.625 0.250
0.375 0.514 0.750
0.875 0.736 0.750
0.000 0.000 0.000
0.750 0.250 0.500
```

Computed properties:
The value obtained for the calculated volume is 386.6 Å³/cell. As for the space group: I-42d. The formation enthalpy at 0 K is -452 meV/atom. Its distance to the lowest polymorph of the same formula is 281 meV per atom.

Density functional theory data (PBE-GGA) for a relaxed structure of Ba3CaBi6.

The structure in POSCAR format:
```
Ba3CaBi6
1.0
-0.023 -1.840 -9.158
-0.892 -8.766 3.103
-8.932 2.604 0.837
Ba Ca Bi
6 2 12
direct
0.181 0.750 0.319
0.319 0.181 0.750
0.250 0.681 0.819
0.750 0.319 0.181
0.681 0.819 0.250
0.819 0.250 0.681
0.000 0.000 0.000
0.500 0.500 0.500
0.916 0.631 0.986
0.014 0.084 0.369
0.131 0.416 0.486
0.369 0.014 0.084
0.416 0.486 0.131
0.514 0.869 0.584
0.486 0.131 0.416
0.584 0.514 0.869
0.631 0.986 0.916
0.869 0.584 0.514
0.986 0.916 0.631
0.084 0.369 0.014
```

Computed properties:
The value obtained for the calculated volume is 788.3 Å³/cell. As for the space group: R-3c. The formation enthalpy at 0 K is -598 meV/atom.

Number 1: VASP energy -3.374 eV per atom, density 5.115 g/cm3. Number 2: VASP energy -3.703 eV per atom, density 7.187 g/cm3.